The following is a DFT calculation (GGA-PBE) of a relaxed structure of Cd6Hg12Pb.

The energy relative to the elements is 0.03 eV per atom. As for the total energy: -36.7 eV for the cell shown.

It has space group R-3 (No. 148, hexagonal axes), with a = 14.5771 Å, b = 14.5771 Å, c = 7.7561 Å, α = 90.00°, β = 90.00° and γ = 120.00°. The distinct sites, in fractional coordinates, are Cd at (0.0416, 0.2818, 0.3128), Hg at (0.0303, 0.1492, 0.6586), Hg at (0.0678, 0.5745, 0.6763) and Pb at (0.0000, 0.0000, 0.0000).